(1)
Density functional theory data (PBE) for a relaxed Ce3NpN6 crystal.

Summary:
space group	Cmc2_1
total DFT energy (no corrections)	-185.4	eV/cell
distance to the lowest polymorph of the same formula	11.7	kJ per mole of atoms
V	311.0	Å³/cell
uncorrected formation energy	-1.202	eV per atom
total moment	0.1025	μB per atom

Unit cell a=5.7735 b=7.4132 c=7.4132 alpha=101.42 beta=90.00 gamma=90.00
Sites, in units of the cell vectors:
N1 0.2404 0.0350 0.9650
N2 0.1741 0.1010 0.6016
N3 0.6911 0.6485 0.6643
N4 0.6741 0.6016 0.1010
N5 0.6911 0.3357 0.3515
N6 0.1741 0.3984 0.8990
N7 0.6741 0.8990 0.3984
N8 0.1911 0.3515 0.3357
N9 0.1911 0.6643 0.6485
N10 0.1943 0.7715 0.2285
N11 0.7404 0.9650 0.0350
N12 0.6943 0.2285 0.7715
Ce1 0.9178 0.6028 0.3972
Ce2 0.4601 0.3415 0.1046
Ce3 0.9601 0.1046 0.3415
Ce4 0.4178 0.3972 0.6028
Ce5 0.9601 0.6585 0.8954
Ce6 0.4601 0.8954 0.6585
Np1 0.9823 0.1469 0.8531
Np2 0.4823 0.8531 0.1469


(2)
Density functional theory data (PBE) for a relaxed CeNpN2O crystal.

Summary:
space group	P4/nmm
total DFT energy (no corrections)	-99.1	eV/cell
V	143.4	Å³/cell
uncorrected formation energy	-1.815	eV per atom
total moment	0.5652	μB per atom

Unit cell a=3.6553 b=3.6553 c=10.7350 alpha=90.00 beta=90.00 gamma=90.00
Sites, in units of the cell vectors:
N1 0.5000 0.0000 0.9090
N2 0.5000 0.0000 0.2822
N3 0.0000 0.5000 0.0910
N4 0.0000 0.5000 0.7178
O1 0.5000 0.5000 0.5000
O2 0.0000 0.0000 0.5000
Np1 0.5000 0.0000 0.1045
Np2 0.0000 0.5000 0.8955
Ce1 0.0000 0.5000 0.3715
Ce2 0.5000 0.0000 0.6285


(3)
Density functional theory data (PBE) for a relaxed CeNpPa2N4 crystal.

Summary:
space group	P2/m
total DFT energy (no corrections)	-83.0	eV/cell
V	122.4	Å³/cell
uncorrected formation energy	-1.483	eV per atom
total moment	0.4451	μB per atom

Unit cell a=3.5171 b=6.0963 c=6.0639 alpha=109.66 beta=90.00 gamma=90.00
Sites, in units of the cell vectors:
N1 0.0000 0.7481 0.2605
N2 0.0000 0.2519 0.7395
N3 0.5000 0.7390 0.7330
N4 0.5000 0.2610 0.2670
Ce1 0.0000 0.0000 0.0000
Pa1 0.0000 0.5000 0.5000
Pa2 0.5000 0.0000 0.5000
Np1 0.5000 0.5000 0.0000


(4)
Density functional theory data (PBE) for a relaxed CeNp2PaN4 crystal.

Summary:
space group	P2/m
total DFT energy (no corrections)	-85.3	eV/cell
V	120.4	Å³/cell
uncorrected formation energy	-1.336	eV per atom
total moment	0.8432	μB per atom

Unit cell a=3.4811 b=6.0382 c=6.0703 alpha=109.37 beta=90.00 gamma=90.00
Sites, in units of the cell vectors:
N1 0.0000 0.2587 0.7456
N2 0.5000 0.2663 0.2639
N3 0.5000 0.7337 0.7361
N4 0.0000 0.7413 0.2544
Np1 0.0000 0.5000 0.5000
Np2 0.5000 0.0000 0.5000
Pa1 0.5000 0.5000 0.0000
Ce1 0.0000 0.0000 0.0000


Q: The lowest V belongs to which entry?
A: CeNp2PaN4